(A)
Entry from Alexandria: crystalline Li2Cr3NiO8 at its relaxed geometry (PBE+U).

Geometry as POSCAR:
```
Li2Cr3NiO8
1.0
5.1726 -2.9303 0.0073
5.1726 2.9303 0.0073
3.5058 0.0000 4.8012
O Cr Li Ni
8 3 2 1
Direct
0.7075 0.2495 0.2495
0.2599 0.2599 0.2599
0.7503 0.2881 0.7503
0.2881 0.7503 0.7503
0.7403 0.7403 0.7403
0.2495 0.7075 0.2495
0.7503 0.7503 0.2881
0.2495 0.2495 0.7075
0.0060 0.4982 0.4982
0.4982 0.4982 0.0060
0.4982 0.0060 0.4982
0.5009 0.5009 0.5009
0.1230 0.1230 0.1230
0.8782 0.8782 0.8782
```


(B)
Entry from Alexandria: crystalline Li2Cr3NiO8 at its relaxed geometry (PBE+U).

Geometry as POSCAR:
```
Li2Cr3NiO8
1.0
8.3363 0.0000 0.0000
0.0000 8.3473 0.0000
0.0000 0.0000 8.3473
O Ni Cr Li
32 4 12 8
Direct
0.3600 0.6419 0.6163
0.6292 0.6425 0.8969
0.3792 0.1031 0.6425
0.3918 0.6154 0.1400
0.1292 0.3575 0.1031
0.1337 0.1338 0.8936
0.1100 0.3837 0.6419
0.6337 0.8662 0.1064
0.6253 0.3902 0.1429
0.6046 0.8664 0.6483
0.6099 0.1071 0.8695
0.8837 0.1064 0.1338
0.6418 0.1400 0.3846
0.1418 0.8600 0.6154
0.8918 0.3846 0.8600
0.1495 0.6208 0.3938
0.8599 0.8695 0.8929
0.6495 0.3792 0.6062
0.8995 0.6062 0.6208
0.1046 0.1336 0.3517
0.1253 0.6098 0.8571
0.3995 0.3938 0.3792
0.3837 0.8936 0.8662
0.3546 0.3517 0.8664
0.3599 0.1305 0.1071
0.6100 0.6163 0.3581
0.8600 0.3581 0.3837
0.3753 0.8571 0.3902
0.8546 0.6483 0.1336
0.1099 0.8929 0.1305
0.8792 0.8969 0.3575
0.8753 0.1429 0.6098
0.1264 0.8744 0.3746
0.3764 0.3746 0.1256
0.8764 0.6254 0.8744
0.6264 0.1256 0.6254
0.3730 0.6310 0.3778
0.8730 0.3690 0.6222
0.6230 0.3778 0.3690
0.3714 0.1264 0.8814
0.1230 0.6222 0.6310
0.8721 0.1214 0.3724
0.1214 0.1186 0.1264
0.1221 0.3724 0.8786
0.3721 0.8786 0.6276
0.6221 0.6276 0.1214
0.8714 0.8736 0.1186
0.6214 0.8814 0.8736
0.5020 0.0020 0.2503
0.2520 0.7497 0.0020
0.0009 0.4983 0.2517
0.0020 0.9980 0.7497
0.7520 0.2503 0.9980
0.2509 0.2517 0.5017
0.5009 0.5017 0.7483
0.7509 0.7483 0.4983
```


(C)
Entry from Alexandria: crystalline Li2Cr3NiO8 at its relaxed geometry (PBE+U).

Geometry as POSCAR:
```
Li2Cr3NiO8
1.0
5.9290 -0.0040 -0.0028
3.0223 5.1008 -0.0028
3.0223 1.7209 4.8018
Li O Cr Ni
2 8 3 1
Direct
0.1250 0.1250 0.1250
0.8750 0.8750 0.8750
0.2607 0.2607 0.2607
0.7457 0.7457 0.2926
0.7074 0.2543 0.2543
0.7457 0.2926 0.7457
0.7393 0.7393 0.7393
0.2543 0.2543 0.7074
0.2926 0.7457 0.7457
0.2543 0.7074 0.2543
0.5000 0.0000 0.5000
0.0000 0.5000 0.5000
0.5000 0.5000 0.0000
0.5000 0.5000 0.5000
```


Sorted by energy, starting with the most stable: (C), (B), (A).